A relaxed CdCuSiHg crystal, computed with GGA-PBE.

Lattice parameters (Å, degrees): 6.6826 6.6826 6.6826 90.00 90.00 90.00
Space group F-43m (No. 216)
Unique sites:
Cd 0.0000 0.0000 0.0000
Cu 0.0000 0.0000 0.5000
Si 0.2500 0.2500 0.2500
Hg 0.2500 0.2500 0.7500

V = 18.7 Å³ per atom
Energy = -2.16 eV per atom